(1)
10
Lattice="0.000 6.408 6.408 6.408 0.000 6.408 6.408 6.408 0.000" Properties=species:S:1:pos:R:3 comment="Cs3PI6 PBE-GGA optimized geometry" polymorph_energy_mev_per_atom=26.7 sg=Fm-3m formation_energy_uncorrected_ev_per_fu=-8.77 pbc="T T T"
Cs 0.000 0.000 0.000
Cs 3.204 3.204 3.204
Cs 9.612 9.612 9.612
P 6.408 6.408 6.408
I 6.408 6.408 3.607
I 6.408 3.607 6.408
I 9.209 6.408 6.408
I 3.607 6.408 6.408
I 6.408 9.209 6.408
I 6.408 6.408 9.209

(2)
5
Lattice="6.801 0.000 0.000 0.000 6.801 0.000 0.000 0.000 6.801" Properties=species:S:1:pos:R:3 comment="Cs3PI PBE-GGA optimized geometry" polymorph_energy_mev_per_atom=0.0 sg=Pm-3m formation_energy_uncorrected_ev_per_fu=-2.83 pbc="T T T"
Cs 0.000 0.000 3.401
Cs 0.000 3.401 0.000
Cs 3.401 0.000 0.000
P 0.000 0.000 0.000
I 3.401 3.401 3.401

(3)
10
Lattice="-4.202 4.202 6.586 4.202 -4.202 6.586 4.202 4.202 -6.586" Properties=species:S:1:pos:R:3 comment="Cs2PI7 PBE-GGA optimized geometry" sg=I4/mmm formation_energy_uncorrected_ev_per_fu=-5.94 pbc="T T T"
Cs 4.202 0.000 3.293
Cs 0.000 4.202 3.293
P 0.000 0.000 0.000
I 0.000 0.000 2.791
I 1.949 1.949 0.000
I 2.253 -2.253 6.586
I 0.000 0.000 6.586
I -2.253 2.253 6.586
I 2.253 2.253 6.586
I 0.000 0.000 10.380

(4)
5
Lattice="-3.753 3.753 4.888 3.753 -3.753 4.888 3.753 3.753 -4.888" Properties=species:S:1:pos:R:3 comment="Cs2PI2 PBE-GGA optimized geometry" polymorph_energy_mev_per_atom=0.0 sg=I4/mmm formation_energy_uncorrected_ev_per_fu=-2.79 pbc="T T T"
Cs 3.753 0.000 2.444
Cs 0.000 3.753 2.444
P 0.000 0.000 0.000
I 0.000 0.000 2.844
I 0.000 0.000 6.932